Record 1
Computed, not measured: YMnTl2 after structural relaxation at the PBE-GGA level of DFT.

Results
VASP energy (eV per cell): -19.4
Symmetry: No. 160
DFT formation energy (eV/atom): 0.240
Fermi-level density of states (states/eV/atom): 0.623

Structure (POSCAR):
```
YMnTl2
1.0
10.066 0.030 0.018
9.449 3.471 0.018
9.449 1.695 3.029
Mn Tl Y
1 2 1
direct
0.750 0.750 0.750
0.007 0.007 0.007
0.250 0.250 0.250
0.492 0.492 0.492
```


Record 2
Computed, not measured: Cs3Ag2Cl2F5 after structural relaxation at the PBE-GGA level of DFT.

Results
VASP energy (eV per cell): -42.5
Formation energy from raw total energies (eV per atom): -1.766
Symmetry: No. 139
Fermi-level density of states (states/eV/atom): 0.368

Structure (POSCAR):
```
Cs3Ag2Cl2F5
1.0
4.740 0.000 0.000
0.000 4.740 0.000
-2.370 -2.370 12.503
Cs Ag Cl F
3 2 2 5
direct
0.167 0.167 0.333
0.833 0.833 0.667
0.000 0.000 0.000
0.413 0.413 0.827
0.587 0.587 0.173
0.686 0.686 0.373
0.314 0.314 0.627
0.585 0.085 0.171
0.415 0.915 0.829
0.085 0.585 0.171
0.915 0.415 0.829
0.500 0.500 0.000
```


Record 3
Computed, not measured: TlTcO after structural relaxation at the PBE-GGA level of DFT.

Results
VASP energy (eV per cell): -36.9
Formation energy from raw total energies (eV per atom): -0.260
Symmetry: No. 6
Fermi-level density of states (states/eV/atom): 0.560

Structure (POSCAR):
```
TlTcO
1.0
-3.062 0.676 -0.464
-3.423 -2.041 -2.045
4.113 -3.786 11.906
Tl O Tc
2 2 2
direct
0.257 0.056 0.781
0.555 0.259 0.484
0.212 0.406 0.631
0.551 0.765 0.990
0.719 0.923 0.148
0.844 0.543 0.267
```


Record 4
Computed, not measured: ReW2 after structural relaxation at the PBE-GGA level of DFT.

Results
VASP energy (eV per cell): -110.0
Energy relative to the lowest polymorph listed for this composition (kJ/mol of atoms): 49.30
Symmetry: No. 189
DFT formation energy (eV/atom): 0.560
Fermi-level density of states (states/eV/atom): 0.629

Structure (POSCAR):
```
ReW2
1.0
3.262 -5.650 0.000
3.262 5.650 0.000
0.000 0.000 4.129
Re W
3 6
direct
0.000 0.000 0.500
0.333 0.667 0.000
0.667 0.333 0.000
0.000 0.252 0.000
0.000 0.577 0.500
0.252 0.000 0.000
0.748 0.748 0.000
0.577 0.000 0.500
0.423 0.423 0.500
```


Record 5
Computed, not measured: LaErTm2Tl4 after structural relaxation at the PBE-GGA level of DFT.

Results
VASP energy (eV per cell): -30.5
Symmetry: No. 166
DFT formation energy (eV/atom): -0.325
Fermi-level density of states (states/eV/atom): 0.761

Structure (POSCAR):
```
LaErTm2Tl4
1.0
-0.950 1.388 -5.124
-1.511 -3.747 -3.573
-9.342 0.747 -0.904
La Er Tm Tl
1 1 2 4
direct
0.000 0.000 0.000
0.500 0.500 0.500
0.751 0.751 0.747
0.249 0.249 0.253
0.378 0.378 0.865
0.872 0.872 0.383
0.128 0.128 0.617
0.622 0.622 0.135
```


Record 6
Computed, not measured: KY2Os after structural relaxation at the PBE-GGA level of DFT.

Results
VASP energy (eV per cell): -23.4
Energy relative to the lowest polymorph listed for this composition (kJ/mol of atoms): 45.82
Symmetry: No. 225
DFT formation energy (eV/atom): 0.460
Fermi-level density of states (states/eV/atom): 1.226

Structure (POSCAR):
```
KY2Os
1.0
0.000 3.654 3.654
3.654 0.000 3.654
3.654 3.654 0.000
Y K Os
2 1 1
direct
0.250 0.250 0.250
0.750 0.750 0.750
0.000 0.000 0.000
0.500 0.500 0.500
```


Record 7
Computed, not measured: InTc2 after structural relaxation at the PBE-GGA level of DFT.

Results
VASP energy (eV per cell): -22.8
Symmetry: No. 164
DFT formation energy (eV/atom): 0.208
Fermi-level density of states (states/eV/atom): 0.912

Structure (POSCAR):
```
InTc2
1.0
-2.706 0.818 -0.623
0.519 -1.623 2.341
0.855 5.684 3.750
In Tc
1 2
direct
0.000 0.000 0.000
0.667 0.333 0.645
0.333 0.667 0.355
```


Record 8
Computed, not measured: CaRh3Cl after structural relaxation at the PBE-GGA level of DFT.

Results
VASP energy (eV per cell): -18.0
Formation energy from raw total energies (eV per atom): 1.579
Energy relative to the lowest polymorph listed for this composition (kJ/mol of atoms): 134.85
Symmetry: No. 221
Fermi-level density of states (states/eV/atom): 2.026

Structure (POSCAR):
```
CaRh3Cl
1.0
-4.860 0.650 0.710
-0.750 -0.264 -4.890
-0.603 -4.904 0.357
Ca Rh Cl
1 3 1
direct
0.000 0.000 0.000
0.000 0.500 0.000
0.000 0.000 0.500
0.500 0.000 0.000
0.500 0.500 0.500
```


Record 9
Computed, not measured: Li5HgS3 after structural relaxation at the PBE-GGA level of DFT.

Results
VASP energy (eV per cell): -62.7
Formation energy from raw total energies (eV per atom): -1.008
Symmetry: No. 15

Structure (POSCAR):
```
Li5HgS3
1.0
6.077 0.000 0.000
-3.039 6.295 -2.139
0.000 -0.025 8.575
Li Hg S
10 2 6
direct
0.231 0.000 0.750
0.551 0.671 0.916
0.957 0.338 0.091
0.449 0.329 0.084
0.618 0.662 0.409
0.769 0.000 0.250
0.120 0.671 0.416
0.880 0.329 0.584
0.382 0.338 0.591
0.043 0.662 0.909
0.733 0.000 0.750
0.267 0.000 0.250
0.000 0.000 0.000
0.725 0.358 0.328
0.000 0.000 0.500
0.275 0.642 0.672
0.632 0.358 0.828
0.368 0.642 0.172
```


Record 10
Computed, not measured: Zn2TeRhW after structural relaxation at the PBE-GGA level of DFT.

Results
VASP energy (eV per cell): -22.5
Formation energy from raw total energies (eV per atom): 0.704
Symmetry: No. 123
Fermi-level density of states (states/eV/atom): 0.540

Structure (POSCAR):
```
Zn2TeRhW
1.0
-1.161 2.148 4.080
0.960 -4.056 2.409
4.513 1.395 0.549
Zn Te Rh W
2 1 1 1
direct
0.000 0.000 0.500
0.500 0.000 0.000
0.500 0.500 0.500
0.000 0.000 0.000
0.000 0.500 0.000
```


Record 11
Computed, not measured: Sm3Dy2Sc after structural relaxation at the PBE-GGA level of DFT.

Results
VASP energy (eV per cell): -56.2
Energy relative to the lowest polymorph listed for this composition (kJ/mol of atoms): 21.94
Symmetry: No. 36
DFT formation energy (eV/atom): 0.263
Fermi-level density of states (states/eV/atom): 1.928

Structure (POSCAR):
```
Sm3Dy2Sc
1.0
5.777 0.000 0.000
0.000 7.744 3.118
0.000 -1.075 8.279
Sm Dy Sc
6 4 2
direct
0.992 0.868 0.543
0.492 0.457 0.132
0.992 0.543 0.868
0.492 0.132 0.457
0.494 0.806 0.806
0.994 0.194 0.194
0.492 0.736 0.392
0.992 0.608 0.264
0.492 0.392 0.736
0.992 0.264 0.608
0.995 0.936 0.936
0.495 0.064 0.064
```


Record 12
Computed, not measured: SiTe2Cl after structural relaxation at the PBE-GGA level of DFT.

Results
VASP energy (eV per cell): -13.2
Formation energy from raw total energies (eV per atom): 0.085
Energy relative to the lowest polymorph listed for this composition (kJ/mol of atoms): 16.54
Symmetry: No. 25
Fermi-level density of states (states/eV/atom): 0.629

Structure (POSCAR):
```
SiTe2Cl
1.0
3.961 0.000 0.000
0.000 3.985 0.000
0.000 0.000 8.222
Cl Si Te
1 1 2
direct
0.000 0.000 0.569
0.500 0.500 0.882
0.000 0.000 0.863
0.500 0.500 0.187
```


Record 13
Computed, not measured: Ba2ZnCr after structural relaxation at the PBE-GGA level of DFT.

Results
VASP energy (eV per cell): -13.0
Symmetry: No. 119
DFT formation energy (eV/atom): 0.438
Fermi-level density of states (states/eV/atom): 0.889

Structure (POSCAR):
```
Ba2ZnCr
1.0
-0.230 4.645 -3.133
-5.580 -0.459 -0.301
2.548 0.100 4.994
Ba Cr Zn
2 1 1
direct
0.000 0.000 0.000
0.250 0.750 0.500
0.500 0.500 0.000
0.750 0.250 0.500
```


Record 14
Computed, not measured: LaBeIr2 after structural relaxation at the PBE-GGA level of DFT.

Results
VASP energy (eV per cell): -25.9
Symmetry: No. 12
DFT formation energy (eV/atom): 0.119
Fermi-level density of states (states/eV/atom): 0.558

Structure (POSCAR):
```
LaBeIr2
1.0
-1.635 -4.644 1.519
3.256 0.268 -4.261
2.679 -0.706 1.031
Be Ir La
1 2 1
direct
0.500 0.500 0.000
0.000 0.000 0.000
0.500 0.000 0.500
0.000 0.500 0.500
```


Record 15
Computed, not measured: La2CeHoSb4 after structural relaxation at the PBE-GGA level of DFT.

Results
VASP energy (eV per cell): -46.2
Formation energy from raw total energies (eV per atom): -1.174
Symmetry: No. 10
Fermi-level density of states (states/eV/atom): 0.852

Structure (POSCAR):
```
La2CeHoSb4
1.0
-3.410 -2.970 -0.333
1.274 -0.597 -7.712
4.304 -5.366 3.786
La Ce Ho Sb
2 1 1 4
direct
0.500 0.000 0.500
0.000 0.500 0.500
0.500 0.500 0.000
0.000 0.000 0.000
0.500 0.243 0.237
0.500 0.757 0.763
0.000 0.250 0.761
0.000 0.750 0.239
```


Record 16
Computed, not measured: ScTa4Zn after structural relaxation at the PBE-GGA level of DFT.

Results
VASP energy (eV per cell): -52.9
Symmetry: No. 216
DFT formation energy (eV/atom): 0.352
Fermi-level density of states (states/eV/atom): 1.177

Structure (POSCAR):
```
ScTa4Zn
1.0
0.000 3.907 3.907
3.907 0.000 3.907
3.907 3.907 0.000
Sc Ta Zn
1 4 1
direct
0.000 0.000 0.000
0.880 0.373 0.373
0.373 0.373 0.880
0.373 0.880 0.373
0.373 0.373 0.373
0.750 0.750 0.750
```


Record 17
Computed, not measured: LiSiAg3 after structural relaxation at the PBE-GGA level of DFT.

Results
VASP energy (eV per cell): -63.6
Formation energy from raw total energies (eV per atom): -0.004
Energy relative to the lowest polymorph listed for this composition (kJ/mol of atoms): 0.00
Symmetry: No. 15
Fermi-level density of states (states/eV/atom): 0.232

Structure (POSCAR):
```
LiSiAg3
1.0
-2.040 -2.030 5.359
7.111 -1.742 3.420
2.523 6.110 4.648
Li Si Ag
4 4 12
direct
0.250 0.959 0.041
0.750 0.041 0.959
0.250 0.366 0.634
0.750 0.634 0.366
0.680 0.420 0.750
0.820 0.250 0.580
0.320 0.580 0.250
0.180 0.750 0.420
0.603 0.690 0.992
0.897 0.008 0.310
0.397 0.310 0.008
0.103 0.992 0.690
0.925 0.329 0.000
0.575 0.000 0.671
0.075 0.671 0.000
0.425 0.000 0.329
0.398 0.685 0.684
0.102 0.316 0.315
0.602 0.315 0.316
0.898 0.684 0.685
```


Record 18
Computed, not measured: HfTiPd2 after structural relaxation at the PBE-GGA level of DFT.

Results
VASP energy (eV per cell): -61.1
Energy relative to the lowest polymorph listed for this composition (kJ/mol of atoms): 0.00
Symmetry: No. 59
DFT formation energy (eV/atom): -0.582
Fermi-level density of states (states/eV/atom): 1.126

Structure (POSCAR):
```
HfTiPd2
1.0
4.667 0.000 0.000
0.000 5.810 0.000
0.000 0.000 5.005
Hf Ti Pd
2 2 4
direct
0.000 0.000 0.304
0.500 0.500 0.696
0.000 0.500 0.276
0.500 0.000 0.724
0.000 0.249 0.812
0.000 0.751 0.812
0.500 0.251 0.188
0.500 0.749 0.188
```


Record 19
Computed, not measured: YGaPdPb after structural relaxation at the PBE-GGA level of DFT.

Results
VASP energy (eV per cell): -20.4
Symmetry: No. 216
DFT formation energy (eV/atom): -0.490
Fermi-level density of states (states/eV/atom): 0.181

Structure (POSCAR):
```
YGaPdPb
1.0
4.977 0.000 0.000
2.488 4.310 0.000
2.488 1.437 4.064
Pb Y Ga Pd
1 1 1 1
direct
0.750 0.750 0.750
0.250 0.250 0.250
0.000 0.000 0.000
0.500 0.500 0.500
```


Record 20
Computed, not measured: V3SbP after structural relaxation at the PBE-GGA level of DFT.

Results
VASP energy (eV per cell): -29.9
Formation energy from raw total energies (eV per atom): 1.392
Energy relative to the lowest polymorph listed for this composition (kJ/mol of atoms): 123.84
Symmetry: No. 221
Fermi-level density of states (states/eV/atom): 1.234

Structure (POSCAR):
```
V3SbP
1.0
5.023 0.000 0.000
0.000 5.023 0.000
0.000 0.000 5.023
Sb P V
1 1 3
direct
0.000 0.000 0.000
0.500 0.500 0.500
0.000 0.500 0.000
0.000 0.000 0.500
0.500 0.000 0.000
```


Record 21
Computed, not measured: CeCo2Ni after structural relaxation at the PBE-GGA level of DFT.

Results
VASP energy (eV per cell): -104.3
Symmetry: No. 51
DFT formation energy (eV/atom): -0.037
Fermi-level density of states (states/eV/atom): 1.183

Structure (POSCAR):
```
CeCo2Ni
1.0
-3.440 3.056 0.551
-0.661 0.142 -4.909
-7.461 -8.537 0.757
Ce Co Ni
4 8 4
direct
0.000 0.250 0.625
0.500 0.750 0.110
0.000 0.750 0.375
0.500 0.250 0.890
0.000 0.000 0.000
0.500 0.500 0.500
0.245 0.750 0.847
0.755 0.250 0.153
0.755 0.750 0.847
0.245 0.250 0.153
0.000 0.500 0.000
0.500 0.000 0.500
0.500 0.750 0.673
0.500 0.250 0.327
0.000 0.250 0.355
0.000 0.750 0.645
```


Record 22
Computed, not measured: ScBe2Re after structural relaxation at the PBE-GGA level of DFT.

Results
VASP energy (eV per cell): -24.8
Energy relative to the lowest polymorph listed for this composition (kJ/mol of atoms): 49.95
Symmetry: No. 166
DFT formation energy (eV/atom): 0.369
Fermi-level density of states (states/eV/atom): 1.023

Structure (POSCAR):
```
ScBe2Re
1.0
8.377 -0.051 -0.030
7.921 2.724 -0.030
7.921 1.299 2.395
Sc Re Be
1 1 2
direct
0.750 0.750 0.750
0.250 0.250 0.250
0.992 0.992 0.992
0.508 0.508 0.508
```


Record 23
Computed, not measured: MgZrBe2 after structural relaxation at the PBE-GGA level of DFT.

Results
VASP energy (eV per cell): -16.8
Symmetry: No. 44
DFT formation energy (eV/atom): 0.194
Fermi-level density of states (states/eV/atom): 0.553

Structure (POSCAR):
```
MgZrBe2
1.0
5.471 0.009 -0.001
2.952 4.606 0.001
-3.733 -3.181 2.424
Be Mg Zr
2 1 1
direct
0.963 0.963 0.000
0.793 0.293 0.500
0.513 0.513 0.000
0.231 0.731 0.500
```


Record 24
Computed, not measured: BaNbAg2Se4 after structural relaxation at the PBE-GGA level of DFT.

Results
VASP energy (eV per cell): -37.6
Formation energy from raw total energies (eV per atom): -0.744
Symmetry: No. 23
Fermi-level density of states (states/eV/atom): 0.438

Structure (POSCAR):
```
BaNbAg2Se4
1.0
6.987 0.000 0.000
3.494 5.638 -1.036
3.494 0.436 5.716
Ba Nb Ag Se
1 1 2 4
direct
0.500 0.000 0.000
0.500 0.500 0.500
0.000 0.328 0.672
0.000 0.672 0.328
0.111 0.864 0.523
0.889 0.477 0.136
0.502 0.523 0.864
0.498 0.136 0.477
```


Record 25
Computed, not measured: ScTc2Br after structural relaxation at the PBE-GGA level of DFT.

Results
VASP energy (eV per cell): -28.0
Formation energy from raw total energies (eV per atom): 0.180
Energy relative to the lowest polymorph listed for this composition (kJ/mol of atoms): 33.76
Symmetry: No. 12
Fermi-level density of states (states/eV/atom): 0.920

Structure (POSCAR):
```
ScTc2Br
1.0
5.550 -0.005 -0.012
4.626 3.067 -0.012
0.009 0.003 4.464
Br Sc Tc
1 1 2
direct
0.750 0.750 0.750
0.250 0.250 0.250
0.969 0.969 0.066
0.531 0.531 0.434
```


Record 26
Computed, not measured: CdS2 after structural relaxation at the PBE-GGA level of DFT.

Results
VASP energy (eV per cell): -9.9
Formation energy from raw total energies (eV per atom): -0.258
Symmetry: No. 12
Fermi-level density of states (states/eV/atom): 0.092

Structure (POSCAR):
```
CdS2
1.0
4.141 -0.006 0.535
2.191 4.753 -0.615
1.604 -0.249 3.848
Cd S
1 2
direct
0.282 0.025 0.553
0.430 0.302 0.979
0.133 0.749 0.127
```


Number 1: ρ 8.795 Mg/m³. Number 2: ρ 4.612 Mg/m³. Number 3: ρ 9.605 Mg/m³. Number 4: ρ 18.132 Mg/m³. Number 5: ρ 10.843 Mg/m³. Number 6: ρ 6.928 Mg/m³. Number 7: ρ 10.359 Mg/m³. Number 8: ρ 5.248 Mg/m³. Number 9: ρ 3.359 Mg/m³. Number 10: ρ 8.315 Mg/m³. Number 11: ρ 6.996 Mg/m³. Number 12: ρ 4.079 Mg/m³. Number 13: ρ 5.230 Mg/m³. Number 14: ρ 12.909 Mg/m³. Number 15: ρ 6.752 Mg/m³. Number 16: ρ 11.608 Mg/m³. Number 17: ρ 6.525 Mg/m³. Number 18: ρ 10.746 Mg/m³. Number 19: ρ 8.997 Mg/m³. Number 20: ρ 4.003 Mg/m³. Number 21: ρ 8.060 Mg/m³. Number 22: ρ 7.349 Mg/m³. Number 23: ρ 3.634 Mg/m³. Number 24: ρ 5.540 Mg/m³. Number 25: ρ 7.004 Mg/m³. Number 26: ρ 4.140 Mg/m³.